[1]
Compound: ZrAl2Fe
Source: Alexandria via LeMat-Bulk
Functional: PBE
Structure: relaxed

The structure in extended XYZ format:
```
8
Lattice="-1.902 1.902 9.668 1.902 -1.902 9.668 1.902 1.902 -9.668" Properties=species:S:1:pos:R:3 pbc="T T T"
Zr 0.000 0.000 0.000
Zr 0.000 1.902 4.834
Al 0.951 -0.891 7.251
Al 1.011 0.951 2.417
Al 0.951 2.792 -2.417
Al 0.891 0.951 12.085
Fe 1.902 0.000 4.834
Fe 0.000 0.000 9.668
```

Values from the calculation:
- M_tot (μB/f.u.) = 1.06
- ΔE_f (kJ/mol of atoms) = 14.80
- calculated volume (Å³ per cell) = 139.9

---

[2]
Compound: ZrAl4Fe
Source: Alexandria via LeMat-Bulk
Functional: PBE
Structure: relaxed

The structure in extended XYZ format:
```
6
Lattice="0.000 3.678 3.678 3.678 0.000 3.678 3.678 3.678 0.000" Properties=species:S:1:pos:R:3 pbc="T T T"
Zr 0.000 0.000 0.000
Al 4.598 2.758 2.758
Al 2.758 4.598 2.758
Al 2.758 2.758 4.598
Al 4.598 4.598 4.598
Fe 1.839 1.839 1.839
```

Values from the calculation:
- M_tot (μB/f.u.) = 2.84
- ΔE_f (kJ/mol of atoms) = -6.54
- calculated volume (Å³ per cell) = 99.5

---

[3]
Compound: ZrAlFe3
Source: Alexandria via LeMat-Bulk
Functional: PBE
Structure: relaxed

The structure in extended XYZ format:
```
5
Lattice="4.288 0.000 0.000 0.000 4.288 0.000 0.000 0.000 4.288" Properties=species:S:1:pos:R:3 pbc="T T T"
Zr 0.000 0.000 0.000
Al 2.144 2.144 2.144
Fe 0.000 2.144 2.144
Fe 2.144 0.000 2.144
Fe 2.144 2.144 0.000
```

Values from the calculation:
- energy above the most stable polymorph in this dataset (eV per formula unit) = 0.00
- M_tot (μB/f.u.) = 4.34
- ΔE_f (kJ/mol of atoms) = 61.66
- calculated volume (Å³ per cell) = 78.8

---

[4]
Compound: ZrAl2Fe
Source: Alexandria via LeMat-Bulk
Functional: PBE
Structure: relaxed

The structure in extended XYZ format:
```
4
Lattice="3.977 0.000 0.000 0.000 3.977 0.000 0.000 0.000 4.122" Properties=species:S:1:pos:R:3 pbc="T T T"
Zr 0.000 0.000 0.000
Al 0.000 1.989 2.061
Al 1.989 0.000 2.061
Fe 1.989 1.989 0.000
```

Values from the calculation:
- M_tot (μB/f.u.) = 2.09
- ΔE_f (kJ/mol of atoms) = -30.76
- calculated volume (Å³ per cell) = 65.2

---

| no. | VASP energy (eV per atom) |
| --- | --- |
| 1 | -5.97 |
| 2 | -5.40 |
| 3 | -6.90 |
| 4 | -6.44 |